This record from Alexandria describes Cs3HoO3 after structural relaxation. The functional is GGA-PBE.

Energy above the most stable polymorph in this dataset (eV/atom): 0.011
Crystal system: monoclinic

abc: 7.934 12.987 7.745
angles: 90.00 101.05 90.00
Space group C2/m (No. 12)
Symmetry-distinct sites (fractional):
Cs (0.000, 0.216, 0.000)
Cs (0.000, 0.263, 0.500)
Cs (0.145, 0.500, 0.851)
Ho (0.170, 0.000, 0.653)
O (0.108, 0.000, 0.366)
O (0.204, 0.365, 0.233)

---

This record from Alexandria describes CsHoO2 after structural relaxation. The functional is GGA-PBE.

Crystal system: trigonal

abc: 3.5335 3.5335 20.8042
angles: 90.00 90.00 120.00
Space group R3m (No. 160, hexagonal axes)
Symmetry-distinct sites (fractional):
Cs (0.0000, 0.0000, 0.0000)
Ho (0.0000, 0.0000, 0.1696)
O (0.0000, 0.0000, 0.5589)
O (0.0000, 0.0000, 0.7834)

---

This record from Alexandria describes CsHo2OsO8 after structural relaxation. The functional is GGA-PBE.

Crystal system: monoclinic

abc: 6.965 7.052 7.767
angles: 90.00 90.14 90.00
Space group C2/m (No. 12)
Symmetry-distinct sites (fractional):
Cs (0.000, 0.000, 0.000)
Ho (0.000, 0.500, 0.285)
Os (0.000, 0.000, 0.500)
O (0.001, 0.188, 0.671)
O (0.109, 0.500, 0.000)
O (0.216, 0.500, 0.501)

---

This record from Alexandria describes Cs3HoPa2O9 after structural relaxation. The functional is GGA-PBE.

Crystal system: trigonal

abc: 6.3376 6.3376 7.7333
angles: 90.00 90.00 120.00
Space group P-3m1 (No. 164)
Symmetry-distinct sites (fractional):
Cs (0.0000, 0.0000, 0.0000)
Cs (0.3333, 0.6667, 0.6644)
Ho (0.0000, 0.0000, 0.5000)
Pa (0.3333, 0.6667, 0.1696)
O (0.0000, 0.5000, 0.0000)
O (0.1725, 0.3450, 0.3277)

---

This record from Alexandria describes CsHoPbO3 after structural relaxation. The functional is GGA-PBE.

Crystal system: monoclinic

abc: 7.480 3.555 10.191
angles: 90.00 95.66 90.00
Space group P2_1/m (No. 11)
Symmetry-distinct sites (fractional):
Cs (0.119, 0.250, 0.187)
Ho (0.411, 0.250, 0.868)
Pb (0.275, 0.750, 0.586)
O (0.170, 0.250, 0.700)
O (0.335, 0.750, 0.993)
O (0.498, 0.750, 0.742)

---

This record from Alexandria describes Cs2HoPdO4 after structural relaxation. The functional is GGA-PBE.

Crystal system: orthorhombic

abc: 5.893 13.885 24.079
angles: 90.00 90.00 90.00
Space group Fddd (No. 70, origin choice 2)
Symmetry-distinct sites (fractional):
Cs (0.125, 0.125, 0.314)
Ho (0.125, 0.125, 0.125)
Pd (0.125, 0.125, 0.625)
O (0.113, 0.274, 0.854)

---

This record from Alexandria describes Cs2PmHoO4 after structural relaxation. The functional is GGA-PBE.

Crystal system: monoclinic

abc: 6.250 3.608 7.217
angles: 90.00 106.73 90.00
Space group P2/m (No. 10)
Symmetry-distinct sites (fractional):
Cs (0.000, 0.000, 0.000)
Cs (0.500, 0.500, 0.000)
Pm (0.000, 0.500, 0.500)
Ho (0.500, 0.000, 0.500)
O (0.231, 0.000, 0.666)
O (0.286, 0.500, 0.334)

---

This record from Alexandria describes Cs3Pm2HoO6 after structural relaxation. The functional is GGA-PBE.

Crystal system: monoclinic

abc: 6.287 10.890 7.231
angles: 90.00 106.84 90.00
Space group C2/m (No. 12)
Symmetry-distinct sites (fractional):
Cs (0.000, 0.000, 0.000)
Cs (0.000, 0.334, 0.000)
Pm (0.000, 0.167, 0.500)
Ho (0.000, 0.500, 0.500)
O (0.218, 0.338, 0.667)
O (0.232, 0.000, 0.667)

---

| no. | final energy (eV/atom) | formation energy without anion corrections (meV/atom) |
| --- | --- | --- |
| 1 | -5.07 | -1925 |
| 2 | -6.45 | -2612 |
| 3 | -7.04 | -1963 |
| 4 | -7.41 | -2689 |
| 5 | -6.18 | -2176 |
| 6 | -5.34 | -1427 |
| 7 | -6.44 | -2580 |
| 8 | -6.43 | -2566 |